[1]
This record from the Alexandria database describes a relaxed Ce2Al2Ga4Ni crystal. The functional is PBE-GGA.

Summary:
Density of states at the Fermi level   1.175 states/eV per atom
Total DFT energy (no corrections)   -0.343 Ry/atom
Space-group type   I4/mmm (139)

abc: 6.2127 6.2127 6.2127
angles: 90.69 119.60 119.60
Closest atoms and distances in Å follow each position.
Positions (direct):
Ce 0.5000 0.7500 0.2500  8 Ga 3.12, 4 Al 3.13
Ce 0.5000 0.2500 0.7500  8 Ga 3.12, 4 Al 3.13
Al 0.0000 0.7223 0.7223  1 Ni 2.42
Al 0.0000 0.2777 0.2777  1 Ni 2.42
Ga 0.0000 0.7228 0.2772  1 Ni 2.45
Ga 0.4456 0.7228 0.7228  1 Ni 2.45
Ga 0.0000 0.2772 0.7228  1 Ni 2.45
Ga 0.5544 0.2772 0.2772  1 Ni 2.45
Ni 0.0000 0.0000 0.0000  2 Al 2.42, 4 Ga 2.45

=====

[2]
This record from the Alexandria database describes a relaxed AcPm2Ag2Pb2 crystal. The functional is PBE-GGA.

Summary:
Density of states at the Fermi level   0.454 states/eV per atom
Total DFT energy (no corrections)   -0.306 Ry/atom
Space-group type   R-3m (166)

abc: 5.0469 5.0469 9.6949
angles: 74.91 74.91 60.00
Closest atoms and distances in Å follow each position.
Positions (direct):
Ac 0.0000 0.0000 0.0000  6 Pb 3.52, 2 Pm 3.78
Pm 0.1363 0.1363 0.5911  3 Ag 3.01, 3 Pm 3.37
Pm 0.8637 0.8637 0.4089  3 Ag 3.01, 3 Pm 3.37
Ag 0.5570 0.5570 0.3289  3 Pm 3.01, 3 Pb 3.10, 1 Ag 3.16
Ag 0.4430 0.4430 0.6711  3 Pm 3.01, 3 Pb 3.10, 1 Ag 3.16
Pb 0.7379 0.7379 0.7864  3 Ag 3.10, 3 Pm 3.43
Pb 0.2621 0.2621 0.2136  3 Ag 3.10, 3 Pm 3.43

=====

| no. | total moment (μB per formula unit) |
| --- | --- |
| 1 | 1.36 |
| 2 | 0.00 |